Here is a geometry-optimized KSe structure from Alexandria. Energies are from GGA-PBE.

Energy relative to the elements, uncorrected: -104 kJ/mol of formula units
Space-group type: P2_13 (198)

Cell lengths 6.3826, 6.3826, 6.3826 Å; angles 90.00, 90.00, 90.00 degrees
With the nearest neighbours (Å) after each atom.
Element x y z (fractional)
K: 0.0891 0.4109 0.5891  7 Se 3.37-3.49
K: 0.4109 0.5891 0.0891  7 Se 3.37-3.49
K: 0.5891 0.0891 0.4109  7 Se 3.37-3.49
K: 0.9109 0.9109 0.9109  7 Se 3.37-3.49
Se: 0.0949 0.9051 0.4051  7 K 3.37-3.49
Se: 0.4051 0.0949 0.9051  7 K 3.37-3.49
Se: 0.5949 0.5949 0.5949  7 K 3.37-3.49
Se: 0.9051 0.4051 0.0949  7 K 3.37-3.49

Here is a geometry-optimized MnAs2P structure from Alexandria. Energies are from GGA-PBE.

Energy of formation: 0.384 eV/atom
Space-group type: I-4m2 (119)

Cell lengths 5.7176, 5.7176, 5.7176 Å; angles 142.23, 142.23, 54.48 degrees
With the nearest neighbours (Å) after each atom.
Element x y z (fractional)
Mn: 0.0000 0.0000 0.0000  4 As 2.62
As: 0.5000 0.5000 0.0000  4 Mn 2.62
As: 0.7500 0.2500 0.5000  4 P 2.62
P: 0.2500 0.7500 0.5000  4 As 2.62

Here is a geometry-optimized Si2AsAu structure from Alexandria. Energies are from GGA-PBE.

Energy relative to the elements, uncorrected: 157 kJ/mol of formula units
Space-group type: C2/m (12)

Cell lengths 5.8268, 5.8268, 4.9658 Å; angles 115.17, 115.17, 27.35 degrees
With the nearest neighbours (Å) after each atom.
Element x y z (fractional)
Si: 0.2480 0.2480 0.2443  6 Si 2.76-2.87, 2 Au 2.88, 2 As 2.91
Si: 0.7520 0.7520 0.7557  6 Si 2.76-2.87, 2 Au 2.88, 2 As 2.91
As: 0.0000 0.0000 0.5000  2 As 2.76, 4 Au 2.84, 4 Si 2.91
Au: 0.5000 0.5000 0.0000  2 Au 2.76, 4 As 2.84, 4 Si 2.88

Here is a geometry-optimized SrBePt3 structure from Alexandria. Energies are from GGA-PBE.

Energy of formation: -0.744 eV/atom
Energy above the lowest structure with this stoichiometry: 0 meV per atom
Space-group type: P6/mmm (191)

Cell lengths 5.4516, 5.4516, 7.1780 Å; angles 90.00, 90.00, 120.00 degrees
With the nearest neighbours (Å) after each atom.
Element x y z (fractional)
Sr: 0.0000 0.0000 0.0000  6 Be 3.15, 12 Pt 3.25
Sr: 0.0000 0.0000 0.5000  12 Pt 3.28, 2 Sr 3.59
Be: 0.3333 0.6667 0.0000  6 Pt 2.36
Be: 0.6667 0.3333 0.0000  6 Pt 2.36
Pt: 0.0000 0.5000 0.2459  2 Be 2.36
Pt: 0.0000 0.5000 0.7541  2 Be 2.36
Pt: 0.5000 0.0000 0.2459  2 Be 2.36
Pt: 0.5000 0.0000 0.7541  2 Be 2.36
Pt: 0.5000 0.5000 0.2459  2 Be 2.36
Pt: 0.5000 0.5000 0.7541  2 Be 2.36

Here is a geometry-optimized NaAc2Sn structure from Alexandria. Energies are from GGA-PBE.

Energy of formation: -0.290 eV/atom
Energy above the lowest structure with this stoichiometry: 0 meV per atom
Space-group type: Fm-3m (225)

Cell lengths 5.8315, 5.8315, 5.8315 Å; angles 60.00, 60.00, 60.00 degrees
With the nearest neighbours (Å) after each atom.
Element x y z (fractional)
Na: 0.0000 0.0000 0.0000  8 Ac 3.57
Ac: 0.2500 0.2500 0.2500  4 Sn 3.57, 4 Na 3.57
Ac: 0.7500 0.7500 0.7500  4 Na 3.57, 4 Sn 3.57
Sn: 0.5000 0.5000 0.5000  8 Ac 3.57

Here is a geometry-optimized Sc2Tl3CrS6 structure from Alexandria. Energies are from GGA-PBE.

Energy relative to the elements, uncorrected: -1251 kJ/mol of formula units
Space-group type: C2/m (12)

Cell lengths 6.4716, 6.4716, 7.7730 Å; angles 97.97, 97.97, 120.04 degrees
With the nearest neighbours (Å) after each atom.
Element x y z (fractional)
Sc: 0.1667 0.8333 0.0000  6 S 2.59-2.62
Sc: 0.8333 0.1667 0.0000  6 S 2.59-2.62
Tl: 0.0000 0.0000 0.5000  6 S 3.17-3.25
Tl: 0.3281 0.6719 0.5000  6 S 3.18-3.24
Tl: 0.6719 0.3281 0.5000  6 S 3.18-3.24
Cr: 0.5000 0.5000 0.0000  6 S 2.46-2.49
S: 0.1218 0.4390 0.8177  1 Cr 2.46, 2 Sc 2.59-2.60
S: 0.2451 0.2451 0.1878  1 Cr 2.49, 2 Sc 2.62
S: 0.4390 0.1218 0.8177  1 Cr 2.46, 2 Sc 2.59-2.60
S: 0.5610 0.8782 0.1823  1 Cr 2.46, 2 Sc 2.59-2.60
S: 0.7549 0.7549 0.8122  1 Cr 2.49, 2 Sc 2.62
S: 0.8782 0.5610 0.1823  1 Cr 2.46, 2 Sc 2.59-2.60

For reference, volume by record: 32.50 17.41 17.41 18.48 35.06 22.56 A^3/atom.
For reference, density by record: 3.0 5.6 7.8 12.3 7.1 5.8 g cm⁻³.
For reference, magnetic moment by record: 1.03 3.81 0.00 0.00 0.00 3.00 μB per formula unit.